Entry 1:
PBE-GGA CaTaMo2, relaxed; M_tot = 0.0 μB/cell; total DFT energy (no corrections) = -8.2006 eV/atom; energy relative to the elements = 2.71 eV per formula unit; SG = No. 71
1.0
-1.6080 2.5153 4.6658
1.6080 -2.5153 4.6658
1.6080 2.5153 -4.6658
Ca Ta Mo
1 1 2
direct
0.0000 0.0000 0.0000
0.5000 0.5000 0.0000
0.2667 0.7667 0.5000
0.7333 0.2333 0.5000

***

Entry 2:
PBE-GGA LaNd3Er6Th2, relaxed; M_tot = 0.0 μB/cell; total DFT energy (no corrections) = -5.0979 eV/atom; energy relative to the elements = 0.27 eV per formula unit; SG = No. 12
1.0
3.1164 -5.3962 0.0000
3.1164 5.3962 0.0000
-2.0823 0.0000 11.5150
La Nd Er Th
1 3 6 2
direct
0.0000 0.0000 0.0000
0.1665 0.8335 0.5000
0.5000 0.5000 0.5000
0.8335 0.1665 0.5000
0.0817 0.4206 0.2459
0.2571 0.2571 0.7539
0.4206 0.0817 0.2459
0.5794 0.9183 0.7541
0.7429 0.7429 0.2461
0.9183 0.5794 0.7541
0.3335 0.6665 0.0000
0.6665 0.3335 0.0000

***

Entry 3:
PBE-GGA LiLuCdNi, relaxed; M_tot = 0.0 μB/cell; total DFT energy (no corrections) = -3.4984 eV/atom; energy relative to the elements = -0.86 eV per formula unit; SG = No. 216
1.0
0.0000 3.2790 3.2790
3.2790 0.0000 3.2790
3.2790 3.2790 0.0000
Li Lu Cd Ni
1 1 1 1
direct
0.0000 0.0000 0.0000
0.2500 0.2500 0.2500
0.7500 0.7500 0.7500
0.5000 0.5000 0.5000

***

Entry 4:
PBE-GGA BaBeRu2, relaxed; M_tot = 0.0 μB/cell; total DFT energy (no corrections) = -4.9453 eV/atom; energy relative to the elements = 4.42 eV per formula unit; SG = No. 47
1.0
3.1554 0.0000 0.0000
0.0000 4.4514 0.0000
0.0000 0.0000 5.1216
Ba Be Ru
1 1 2
direct
0.0000 0.0000 0.0000
0.5000 0.0000 0.5000
0.0000 0.5000 0.5000
0.5000 0.5000 0.0000